# 1
The following is a PBE calculation of an optimized crystal structure of KNbAu, from OQMD. Values from VASP.

Values from the calculation:
Distance to the lowest polymorph of the same formula, meV per atom: 0
Calculated volume, A^3/atom: 29.1

The structure in Quantum ESPRESSO input format:
```
&SYSTEM
  ibrav = 0, nat = 3, ntyp = 3
/
ATOMIC_SPECIES
K 39.10 K.upf
Nb 92.91 Nb.upf
Au 196.97 Au.upf
CELL_PARAMETERS angstrom
0.000 3.522 3.522
3.522 0.000 3.522
3.522 3.522 0.000
ATOMIC_POSITIONS crystal
K 0.000 0.000 0.000
Nb 0.500 0.500 0.500
Au 0.250 0.250 0.250
```



# 2
The following is a PBE calculation of an optimized crystal structure of KNb2AuS4, from OQMD. Values from VASP.

Values from the calculation:
Calculated volume, A^3/atom: 21.1
VASP energy, eV/atom: -5.98

The structure in Quantum ESPRESSO input format:
```
&SYSTEM
  ibrav = 0, nat = 8, ntyp = 4
/
ATOMIC_SPECIES
K 39.10 K.upf
Nb 92.91 Nb.upf
Au 196.97 Au.upf
S 32.06 S.upf
CELL_PARAMETERS angstrom
3.419 0.000 0.000
-1.709 2.961 0.000
0.000 0.000 16.687
ATOMIC_POSITIONS crystal
K 0.000 0.000 0.000
Nb 0.333 0.667 0.268
Nb 0.667 0.333 0.732
Au 0.000 0.000 0.500
S 0.000 0.000 0.176
S 0.000 0.000 0.360
S 0.000 0.000 0.640
S 0.000 0.000 0.824
```



# 3
The following is a PBE calculation of an optimized crystal structure of KNbAuSe2S, from OQMD. Values from VASP.

Values from the calculation:
Calculated volume, A^3/atom: 23.8
VASP energy, eV/atom: -4.88

The structure in Quantum ESPRESSO input format:
```
&SYSTEM
  ibrav = 0, nat = 12, ntyp = 5
/
ATOMIC_SPECIES
K 39.10 K.upf
Nb 92.91 Nb.upf
Au 196.97 Au.upf
Se 78.96 Se.upf
S 32.06 S.upf
CELL_PARAMETERS angstrom
1.885 -7.567 0.000
1.885 7.567 0.000
0.000 0.000 9.999
ATOMIC_POSITIONS crystal
K 0.250 0.750 0.750
K 0.750 0.250 0.250
Nb 0.000 0.000 0.000
Nb 0.000 0.000 0.500
Au 0.452 0.548 0.250
Au 0.548 0.452 0.750
Se 0.374 0.626 0.027
Se 0.374 0.626 0.473
Se 0.626 0.374 0.527
Se 0.626 0.374 0.973
S 0.065 0.935 0.250
S 0.935 0.065 0.750
```



# 4
The following is a PBE calculation of an optimized crystal structure of KNbTeAuS2, from OQMD. Values from VASP.

Values from the calculation:
Calculated volume, A^3/atom: 25.1
VASP energy, eV/atom: -4.91

The structure in Quantum ESPRESSO input format:
```
&SYSTEM
  ibrav = 0, nat = 12, ntyp = 5
/
ATOMIC_SPECIES
K 39.10 K.upf
Nb 92.91 Nb.upf
Te 127.60 Te.upf
Au 196.97 Au.upf
S 32.06 S.upf
CELL_PARAMETERS angstrom
1.797 -8.160 0.000
1.797 8.160 0.000
0.000 0.000 10.288
ATOMIC_POSITIONS crystal
K 0.220 0.780 0.750
K 0.780 0.220 0.250
Nb 0.000 0.000 0.000
Nb 0.000 0.000 0.500
Te 0.093 0.907 0.250
Te 0.907 0.093 0.750
Au 0.457 0.543 0.250
Au 0.543 0.457 0.750
S 0.392 0.608 0.041
S 0.392 0.608 0.459
S 0.608 0.392 0.541
S 0.608 0.392 0.959
```



# 5
The following is a PBE calculation of an optimized crystal structure of KNbTeAuSe2, from OQMD. Values from VASP.

Values from the calculation:
Calculated volume, A^3/atom: 26.8
VASP energy, eV/atom: -4.65

The structure in Quantum ESPRESSO input format:
```
&SYSTEM
  ibrav = 0, nat = 12, ntyp = 5
/
ATOMIC_SPECIES
K 39.10 K.upf
Nb 92.91 Nb.upf
Te 127.60 Te.upf
Au 196.97 Au.upf
Se 78.96 Se.upf
CELL_PARAMETERS angstrom
1.869 -8.201 0.000
1.869 8.201 0.000
0.000 0.000 10.505
ATOMIC_POSITIONS crystal
K 0.226 0.774 0.750
K 0.774 0.226 0.250
Nb 0.000 0.000 0.000
Nb 0.000 0.000 0.500
Te 0.086 0.914 0.250
Te 0.914 0.086 0.750
Au 0.456 0.544 0.250
Au 0.544 0.456 0.750
Se 0.385 0.615 0.036
Se 0.385 0.615 0.464
Se 0.615 0.385 0.536
Se 0.615 0.385 0.964
```



# 6
The following is a PBE calculation of an optimized crystal structure of KNbTe3Au, from OQMD. Values from VASP.

Values from the calculation:
Calculated volume, A^3/atom: 29.9
VASP energy, eV/atom: -4.38

The structure in Quantum ESPRESSO input format:
```
&SYSTEM
  ibrav = 0, nat = 12, ntyp = 4
/
ATOMIC_SPECIES
K 39.10 K.upf
Nb 92.91 Nb.upf
Te 127.60 Te.upf
Au 196.97 Au.upf
CELL_PARAMETERS angstrom
2.006 -8.159 0.000
2.006 8.159 0.000
0.000 0.000 10.943
ATOMIC_POSITIONS crystal
K 0.235 0.765 0.750
K 0.765 0.235 0.250
Nb 0.000 0.000 0.000
Nb 0.000 0.000 0.500
Te 0.074 0.926 0.250
Te 0.376 0.624 0.034
Te 0.376 0.624 0.466
Te 0.624 0.376 0.534
Te 0.624 0.376 0.966
Te 0.926 0.074 0.750
Au 0.455 0.545 0.250
Au 0.545 0.455 0.750
```



Q: What is the formula in the fifth record?
A: KNbTeAuSe2



What did the sixth record say?
The following is a PBE calculation of an optimized crystal structure of KNbTe3Au, from OQMD. Values from VASP.

Values from the calculation:
Calculated volume, A^3/atom: 29.9
VASP energy, eV/atom: -4.38

The structure in Quantum ESPRESSO input format:
```
&SYSTEM
  ibrav = 0, nat = 12, ntyp = 4
/
ATOMIC_SPECIES
K 39.10 K.upf
Nb 92.91 Nb.upf
Te 127.60 Te.upf
Au 196.97 Au.upf
CELL_PARAMETERS angstrom
2.006 -8.159 0.000
2.006 8.159 0.000
0.000 0.000 10.943
ATOMIC_POSITIONS crystal
K 0.235 0.765 0.750
K 0.765 0.235 0.250
Nb 0.000 0.000 0.000
Nb 0.000 0.000 0.500
Te 0.074 0.926 0.250
Te 0.376 0.624 0.034
Te 0.376 0.624 0.466
Te 0.624 0.376 0.534
Te 0.624 0.376 0.966
Te 0.926 0.074 0.750
Au 0.455 0.545 0.250
Au 0.545 0.455 0.750
```



Copy entry 4 word for word.
The following is a PBE calculation of an optimized crystal structure of KNbTeAuS2, from OQMD. Values from VASP.

Values from the calculation:
Calculated volume, A^3/atom: 25.1
VASP energy, eV/atom: -4.91

The structure in Quantum ESPRESSO input format:
```
&SYSTEM
  ibrav = 0, nat = 12, ntyp = 5
/
ATOMIC_SPECIES
K 39.10 K.upf
Nb 92.91 Nb.upf
Te 127.60 Te.upf
Au 196.97 Au.upf
S 32.06 S.upf
CELL_PARAMETERS angstrom
1.797 -8.160 0.000
1.797 8.160 0.000
0.000 0.000 10.288
ATOMIC_POSITIONS crystal
K 0.220 0.780 0.750
K 0.780 0.220 0.250
Nb 0.000 0.000 0.000
Nb 0.000 0.000 0.500
Te 0.093 0.907 0.250
Te 0.907 0.093 0.750
Au 0.457 0.543 0.250
Au 0.543 0.457 0.750
S 0.392 0.608 0.041
S 0.392 0.608 0.459
S 0.608 0.392 0.541
S 0.608 0.392 0.959
```



Q: Look up the calculated volume of the third one.
A: 23.8 A^3/atom